CrRuNF2 | GGA+U | relaxed

**E_tot**: -31.13 eV/cell
**Space-group type**: P4/mmm

a = 4.244 Å, b = 4.244 Å, c = 3.749 Å
α = 90.00°, β = 90.00°, γ = 90.00°
Each line ends with the local moment (μB).
Fractional coordinates of all 5 atoms:
Cr  0.500  0.500  0.500  4.48
F  0.000  0.500  0.000  0.02
Ru  0.000  0.000  0.000  -0.11
N  0.000  0.000  0.500  -0.15
F  0.500  0.000  0.000  0.02